No. 1
The following is a DFT calculation (PBE) of crystalline Sm2YHoSe5 at its relaxed geometry.

a = 5.1300 Å, b = 5.1300 Å, c = 10.7216 Å
α = 90.00°, β = 90.00°, γ = 90.00°
Atoms (fractional coordinates):
Sm  0.0000  0.0000  0.1703
Sm  0.0000  0.0000  0.8297
Y  0.5000  0.5000  0.5000
Ho  0.5000  0.5000  0.0000
Se  0.0000  0.0000  0.5000
Se  0.0000  0.5000  0.0000
Se  0.5000  0.0000  0.0000
Se  0.5000  0.5000  0.2539
Se  0.5000  0.5000  0.7461

Results
As for the space group: No. 123.

=====

No. 2
The following is a DFT calculation (PBE) of crystalline SmYHo2Se6 at its relaxed geometry.

a = 7.7197 Å, b = 7.7197 Å, c = 7.7197 Å
α = 55.89°, β = 55.89°, γ = 55.89°
Atoms (fractional coordinates):
Sm  0.0000  0.0000  0.0000
Y  0.4972  0.4972  0.4972
Ho  0.3006  0.3006  0.3006
Ho  0.8025  0.8025  0.8025
Se  0.0901  0.6929  0.4114
Se  0.2020  0.5890  0.9025
Se  0.4114  0.0901  0.6929
Se  0.5890  0.9025  0.2020
Se  0.6929  0.4114  0.0901
Se  0.9025  0.2020  0.5890

Results
As for the space group: No. 146.

=====

No. 3
The following is a DFT calculation (PBE) of crystalline SmY3Ho4Se8 at its relaxed geometry.

a = 8.1748 Å, b = 8.1748 Å, c = 8.1748 Å
α = 59.87°, β = 59.87°, γ = 59.87°
Atoms (fractional coordinates):
Sm  0.0000  0.0000  0.0000
Y  0.0000  0.5000  0.5000
Y  0.5000  0.0000  0.5000
Y  0.5000  0.5000  0.0000
Ho  0.0000  0.0000  0.5000
Ho  0.0000  0.5000  0.0000
Ho  0.5000  0.0000  0.0000
Ho  0.5000  0.5000  0.5000
Se  0.2489  0.2489  0.2489
Se  0.2515  0.7462  0.7462
Se  0.2538  0.2538  0.7485
Se  0.2538  0.7485  0.2538
Se  0.7462  0.2515  0.7462
Se  0.7462  0.7462  0.2515
Se  0.7485  0.2538  0.2538
Se  0.7511  0.7511  0.7511

Results
As for the space group: No. 166.

=====

Sequential magnetization output: 0.002 0.000 0.000 μB per atom
Sequential uncorrected formation energy output: -1.2250 -1.8513 -1.7448 eV/atom